Entry 1:
Here is an optimized crystal structure of LuPuBi2 from the Alexandria database. Energies are from GGA-PBE.

a = 7.734 Å, b = 7.734 Å, c = 7.734 Å
α = 33.70°, β = 33.70°, γ = 33.70°
Fractional positions:
Lu (0.000, 0.000, 0.000)
Pu (0.500, 0.500, 0.500)
Bi (0.253, 0.253, 0.253)
Bi (0.747, 0.747, 0.747)

The calculation puts the total energy at -28.73 eV/f.u. The value obtained for the energy of formation from the pure elements is -0.5282 eV/atom.



Entry 2:
Here is an optimized crystal structure of Lu2PuBi from the Alexandria database. Energies are from GGA-PBE.

a = 4.862 Å, b = 4.862 Å, c = 4.649 Å
α = 90.00°, β = 90.00°, γ = 90.00°
Fractional positions:
Lu (0.000, 0.500, 0.000)
Lu (0.500, 0.000, 0.000)
Pu (0.000, 0.000, 0.500)
Bi (0.500, 0.500, 0.500)

The calculation puts the total energy at -28.14 eV/f.u. The value obtained for the energy of formation from the pure elements is -0.2204 eV/atom.



Entry 3:
Here is an optimized crystal structure of LuPuBi2 from the Alexandria database. Energies are from GGA-PBE.

a = 5.459 Å, b = 5.459 Å, c = 5.459 Å
α = 60.00°, β = 60.00°, γ = 60.00°
Fractional positions:
Lu (0.000, 0.000, 0.000)
Pu (0.500, 0.500, 0.500)
Bi (0.250, 0.250, 0.250)
Bi (0.750, 0.750, 0.750)

The calculation puts the total energy at -28.14 eV/f.u. The value obtained for the energy of formation from the pure elements is -0.3801 eV/atom.



Entry 4:
Here is an optimized crystal structure of LuPuBi2 from the Alexandria database. Energies are from GGA-PBE.

a = 5.813 Å, b = 5.813 Å, c = 3.397 Å
α = 90.00°, β = 90.00°, γ = 90.00°
Fractional positions:
Lu (0.000, 0.000, 0.000)
Pu (0.500, 0.500, 0.000)
Bi (0.000, 0.500, 0.500)
Bi (0.500, 0.000, 0.500)

The calculation puts the total energy at -28.30 eV/f.u. The value obtained for the energy of formation from the pure elements is -0.4204 eV/atom.



Entry 5:
Here is an optimized crystal structure of LuPuBi2 from the Alexandria database. Energies are from GGA-PBE.

a = 4.083 Å, b = 4.083 Å, c = 6.856 Å
α = 90.00°, β = 90.00°, γ = 90.00°
Fractional positions:
Lu (0.000, 0.000, 0.000)
Pu (0.000, 0.000, 0.500)
Bi (0.500, 0.500, 0.245)
Bi (0.500, 0.500, 0.755)

The calculation puts the total energy at -28.30 eV/f.u. The value obtained for the energy of formation from the pure elements is -0.4207 eV/atom.



Entry 6:
Here is an optimized crystal structure of Lu2PuBi from the Alexandria database. Energies are from GGA-PBE.

a = 3.956 Å, b = 3.956 Å, c = 7.194 Å
α = 90.00°, β = 90.00°, γ = 90.00°
Fractional positions:
Lu (0.000, 0.000, 0.235)
Lu (0.000, 0.000, 0.765)
Pu (0.500, 0.500, 0.500)
Bi (0.500, 0.500, 0.000)

The calculation puts the total energy at -27.96 eV/f.u. The value obtained for the energy of formation from the pure elements is -0.1761 eV/atom.



Entry 7:
Here is an optimized crystal structure of LuPuZnBi from the Alexandria database. Energies are from GGA-PBE.

a = 5.258 Å, b = 5.258 Å, c = 5.258 Å
α = 60.00°, β = 60.00°, γ = 60.00°
Fractional positions:
Lu (0.000, 0.000, 0.000)
Pu (0.500, 0.500, 0.500)
Zn (0.750, 0.750, 0.750)
Bi (0.250, 0.250, 0.250)

The calculation puts the total energy at -24.89 eV/f.u. The value obtained for the energy of formation from the pure elements is -0.2204 eV/atom.



Entry 8:
Here is an optimized crystal structure of RbLuBi from the Alexandria database. Energies are from GGA-PBE.

a = 7.767 Å, b = 7.767 Å, c = 7.767 Å
α = 148.12°, β = 148.12°, γ = 45.70°
Fractional positions:
Rb (0.000, 0.000, 0.000)
Lu (0.268, 0.268, 0.000)
Bi (0.720, 0.720, 0.000)

The calculation puts the total energy at -10.01 eV/f.u. The value obtained for the energy of formation from the pure elements is -0.2137 eV/atom.



Entry 9:
Here is an optimized crystal structure of RbLuBi2 from the Alexandria database. Energies are from GGA-PBE.

a = 3.696 Å, b = 3.696 Å, c = 9.846 Å
α = 90.00°, β = 90.00°, γ = 90.00°
Fractional positions:
Rb (0.000, 0.000, 0.000)
Lu (0.000, 0.000, 0.500)
Bi (0.500, 0.500, 0.290)
Bi (0.500, 0.500, 0.710)

The calculation puts the total energy at -15.03 eV/f.u. The value obtained for the energy of formation from the pure elements is -0.4450 eV/atom.



Entry 10:
Here is an optimized crystal structure of RbLuBi2 from the Alexandria database. Energies are from GGA-PBE.

a = 8.588 Å, b = 8.588 Å, c = 8.588 Å
α = 32.49°, β = 32.49°, γ = 32.49°
Fractional positions:
Rb (0.000, 0.000, 0.000)
Lu (0.500, 0.500, 0.500)
Bi (0.225, 0.225, 0.225)
Bi (0.775, 0.775, 0.775)

The calculation puts the total energy at -14.55 eV/f.u. The value obtained for the energy of formation from the pure elements is -0.3261 eV/atom.



Entry 11:
Here is an optimized crystal structure of LuBiRh4 from the Alexandria database. Energies are from GGA-PBE.

a = 5.322 Å, b = 5.322 Å, c = 5.322 Å
α = 60.00°, β = 60.00°, γ = 60.00°
Fractional positions:
Lu (0.000, 0.000, 0.000)
Bi (0.250, 0.250, 0.250)
Rh (0.126, 0.625, 0.625)
Rh (0.625, 0.126, 0.625)
Rh (0.625, 0.625, 0.126)
Rh (0.625, 0.625, 0.625)

The calculation puts the total energy at -40.10 eV/f.u. The value obtained for the energy of formation from the pure elements is -0.3814 eV/atom.



Entry 12:
Here is an optimized crystal structure of LuBi2Rh from the Alexandria database. Energies are from GGA-PBE.

a = 10.234 Å, b = 10.234 Å, c = 10.234 Å
α = 19.87°, β = 19.87°, γ = 19.87°
Fractional positions:
Lu (0.000, 0.000, 0.000)
Bi (0.103, 0.103, 0.103)
Bi (0.897, 0.897, 0.897)
Rh (0.500, 0.500, 0.500)

The calculation puts the total energy at -19.76 eV/f.u. The value obtained for the energy of formation from the pure elements is -0.0305 eV/atom.